No. 1
NaPaCO5 PBE optimized geometry; magnetic moment = 0.000 μB/atom
1.0
5.525 0.222 -0.120
-1.400 5.349 -0.120
-1.866 -2.521 7.215
O C Na Pa
10 2 2 2
Direct
0.850 0.305 0.146
0.909 0.091 0.750
0.695 0.150 0.354
0.583 0.746 0.874
0.091 0.909 0.250
0.150 0.695 0.854
0.254 0.417 0.626
0.746 0.583 0.374
0.417 0.254 0.126
0.305 0.850 0.646
0.678 0.322 0.250
0.322 0.678 0.750
0.653 0.347 0.750
0.347 0.653 0.250
0.000 0.000 0.000
0.000 0.000 0.500

No. 2
NaPaC2O8 PBE optimized geometry; magnetic moment = 0.168 μB/atom
1.0
-5.128 0.048 -0.054
2.504 -2.127 3.939
0.024 6.264 3.367
O Pa Na C
8 1 1 2
Direct
0.241 0.865 0.689
0.865 0.624 0.311
0.759 0.135 0.311
0.333 0.667 0.945
0.624 0.759 0.689
0.135 0.376 0.689
0.376 0.241 0.311
0.667 0.333 0.055
0.000 0.000 0.500
0.000 0.000 0.000
0.333 0.667 0.754
0.667 0.333 0.246

No. 3
NaPbC2O6 PBE optimized geometry; magnetic moment = 0.000 μB/atom
1.0
6.662 -0.180 0.191
-0.994 6.590 0.191
-1.427 -1.614 6.220
Pb C O Na
2 4 12 2
Direct
0.351 0.649 0.750
0.649 0.351 0.250
0.857 0.645 0.750
0.143 0.355 0.250
0.645 0.857 0.250
0.355 0.143 0.750
0.274 0.232 0.239
0.768 0.726 0.261
0.719 0.043 0.370
0.191 0.540 0.369
0.460 0.809 0.131
0.540 0.191 0.869
0.957 0.281 0.130
0.281 0.957 0.630
0.726 0.768 0.761
0.809 0.460 0.631
0.043 0.719 0.870
0.232 0.274 0.739
0.139 0.861 0.250
0.861 0.139 0.750

No. 4
NaPdCO5 PBE optimized geometry; magnetic moment = 0.119 μB/atom
1.0
-0.476 1.651 -4.992
-4.932 -0.228 1.869
3.129 5.211 3.460
O Na Pd C
10 2 2 2
Direct
0.570 0.751 0.910
0.904 0.096 0.750
0.331 0.896 0.657
0.669 0.104 0.343
0.751 0.570 0.410
0.096 0.904 0.250
0.104 0.669 0.843
0.430 0.249 0.090
0.896 0.331 0.157
0.249 0.430 0.590
0.352 0.648 0.250
0.648 0.352 0.750
0.000 0.000 0.500
0.000 0.000 0.000
0.697 0.303 0.250
0.303 0.697 0.750

| no. | raw formation energy (kcal/mol of atoms) |
| --- | --- |
| 1 | -52.8 |
| 2 | -37.8 |
| 3 | -32.0 |
| 4 | -17.5 |